(1)
Zr2MoIr after structural relaxation. Source: the Alexandria database, functional GGA-PBE.

Structure (POSCAR):
```
Zr2MoIr
1.0
-0.532 1.954 -2.733
0.493 -3.952 -2.922
-4.275 -0.752 0.295
Zr Mo Ir
2 1 1
direct
0.000 0.000 0.000
0.500 0.500 0.000
0.000 0.500 0.500
0.500 0.000 0.500
```

Values from the calculation:
ΔE_f ... -0.221 eV/atom
Total magnetization ... 0.000 μB/cell


(2)
Zr2MoIr after structural relaxation. Source: the Alexandria database, functional GGA-PBE.

Structure (POSCAR):
```
Zr2MoIr
1.0
4.916 -1.670 -3.204
-1.222 5.046 3.204
-3.424 0.037 5.050
Zr Ir Mo
2 1 1
direct
0.000 0.261 0.261
0.000 0.739 0.739
0.000 0.500 0.500
0.000 0.000 0.000
```

Values from the calculation:
ΔE_f ... 0.427 eV/atom
Total magnetization ... 0.000 μB/cell


(3)
ZrMoIr2 after structural relaxation. Source: the Alexandria database, functional GGA-PBE.

Structure (POSCAR):
```
ZrMoIr2
1.0
-1.475 -1.166 -3.404
-0.839 -2.502 1.220
-5.926 -0.088 2.599
Ir Mo Zr
2 1 1
direct
0.000 0.515 0.485
0.000 0.985 0.015
0.500 0.250 0.250
0.500 0.750 0.750
```

Values from the calculation:
ΔE_f ... -0.426 eV/atom
Total magnetization ... 0.000 μB/cell


(4)
ZrMoIr2 after structural relaxation. Source: the Alexandria database, functional GGA-PBE.

Structure (POSCAR):
```
ZrMoIr2
1.0
9.423 -0.020 -0.012
8.996 2.802 -0.012
8.996 1.358 2.450
Ir Zr Mo
2 1 1
direct
0.506 0.506 0.506
0.994 0.994 0.994
0.750 0.750 0.750
0.250 0.250 0.250
```

Values from the calculation:
ΔE_f ... -0.122 eV/atom
Total magnetization ... 0.000 μB/cell


(5)
ZrMoIr2 after structural relaxation. Source: the Alexandria database, functional GGA-PBE.

Structure (POSCAR):
```
ZrMoIr2
1.0
9.610 -0.015 -0.009
9.194 2.798 -0.009
9.194 1.361 2.444
Zr Mo Ir
1 1 2
direct
0.747 0.747 0.747
0.508 0.508 0.508
0.997 0.997 0.997
0.248 0.248 0.248
```

Values from the calculation:
ΔE_f ... 0.037 eV/atom
Total magnetization ... 0.000 μB/cell


(6)
Zr2MoIr after structural relaxation. Source: the Alexandria database, functional GGA-PBE.

Structure (POSCAR):
```
Zr2MoIr
1.0
4.652 0.000 0.000
2.326 4.029 0.000
2.326 1.343 3.798
Zr Ir Mo
2 1 1
direct
0.250 0.250 0.250
0.000 0.000 0.000
0.500 0.500 0.500
0.750 0.750 0.750
```

Values from the calculation:
ΔE_f ... -0.220 eV/atom
Total magnetization ... 0.000 μB/cell


(7)
Zr2MoIr after structural relaxation. Source: the Alexandria database, functional GGA-PBE.

Structure (POSCAR):
```
Zr2MoIr
1.0
8.796 0.028 0.017
8.210 3.156 0.017
8.210 1.537 2.757
Ir Zr Mo
1 2 1
direct
0.250 0.250 0.250
0.000 0.000 0.000
0.500 0.500 0.500
0.750 0.750 0.750
```

Values from the calculation:
ΔE_f ... -0.044 eV/atom
Total magnetization ... 0.000 μB/cell


(8)
ZrMoIr2 after structural relaxation. Source: the Alexandria database, functional GGA-PBE.

Structure (POSCAR):
```
ZrMoIr2
1.0
-1.669 1.865 3.238
-0.078 -3.563 2.012
7.172 0.786 5.831
Ir Zr Mo
4 2 2
direct
0.652 0.125 0.250
0.875 0.902 0.750
0.375 0.348 0.750
0.098 0.625 0.250
0.250 0.750 0.500
0.500 0.500 0.000
0.000 0.000 0.000
0.750 0.250 0.500
```

Values from the calculation:
ΔE_f ... 0.269 eV/atom
Total magnetization ... 0.000 μB/cell


(9)
ZrMoIr2 after structural relaxation. Source: the Alexandria database, functional GGA-PBE.

Structure (POSCAR):
```
ZrMoIr2
1.0
-0.080 -4.668 1.127
1.491 -1.095 -4.432
2.743 0.166 0.882
Ir Mo Zr
2 1 1
direct
0.000 0.000 0.000
0.500 0.500 0.000
0.500 0.000 0.500
0.000 0.500 0.500
```

Values from the calculation:
ΔE_f ... -0.280 eV/atom
Total magnetization ... 0.000 μB/cell


(10)
Zr2MoIr after structural relaxation. Source: the Alexandria database, functional GGA-PBE.

Structure (POSCAR):
```
Zr2MoIr
1.0
-0.547 -2.406 3.368
2.177 -3.057 -1.830
8.622 0.632 4.438
Mo Zr Ir
2 4 2
direct
0.500 0.500 0.000
0.250 0.750 0.500
0.875 0.874 0.750
0.126 0.625 0.250
0.624 0.125 0.250
0.375 0.376 0.750
0.000 0.000 0.000
0.750 0.250 0.500
```

Values from the calculation:
ΔE_f ... 0.498 eV/atom
Total magnetization ... 0.000 μB/cell


(11)
Zr4MoIr3 after structural relaxation. Source: the Alexandria database, functional GGA-PBE.

Structure (POSCAR):
```
Zr4MoIr3
1.0
4.551 0.000 -1.229
-0.327 4.544 -1.213
-0.473 -0.544 7.292
Ir Zr Mo
3 4 1
direct
0.000 0.500 0.000
0.251 0.751 0.502
0.749 0.249 0.498
0.875 0.875 0.750
0.625 0.625 0.250
0.125 0.125 0.250
0.375 0.375 0.750
0.500 0.000 0.000
```

Values from the calculation:
ΔE_f ... -0.687 eV/atom
Total magnetization ... 0.000 μB/cell


(12)
Zr2MoIr after structural relaxation. Source: the Alexandria database, functional GGA-PBE.

Structure (POSCAR):
```
Zr2MoIr
1.0
-4.676 -0.197 -2.467
-3.331 -3.259 2.504
2.851 4.406 0.670
Zr Ir Mo
2 1 1
direct
0.999 0.999 0.000
0.501 0.501 0.000
0.750 0.250 0.500
0.250 0.750 0.500
```

Values from the calculation:
ΔE_f ... -0.204 eV/atom
Total magnetization ... 0.000 μB/cell


(13)
ZrMo2Ir2 after structural relaxation. Source: the Alexandria database, functional GGA-PBE.

Structure (POSCAR):
```
ZrMo2Ir2
1.0
-4.922 5.884 -0.822
-1.094 -1.947 -7.385
-2.133 -1.678 0.758
Ir Zr Mo
4 2 4
direct
0.374 0.874 0.000
0.626 0.126 0.000
0.874 0.626 0.000
0.126 0.374 0.000
0.000 0.000 0.000
0.500 0.500 0.000
0.830 0.330 0.500
0.330 0.170 0.500
0.170 0.670 0.500
0.670 0.830 0.500
```

Values from the calculation:
ΔE_f ... -0.248 eV/atom
Total magnetization ... 0.000 μB/cell
E above lowest polymorph ... 0.000 eV per atom


(14)
ZrMoIr after structural relaxation. Source: the Alexandria database, functional GGA-PBE.

Structure (POSCAR):
```
ZrMoIr
1.0
-2.251 -0.279 -3.812
-1.666 -3.896 -1.312
-4.384 -0.669 0.057
Mo Ir Zr
1 1 1
direct
0.500 0.500 0.500
0.000 0.000 0.000
0.750 0.750 0.750
```

Values from the calculation:
ΔE_f ... 0.701 eV/atom
Total magnetization ... 2.432 μB/cell
E above lowest polymorph ... 1.034 eV per atom


(15)
ZrMoIr2 after structural relaxation. Source: the Alexandria database, functional GGA-PBE.

Structure (POSCAR):
```
ZrMoIr2
1.0
-1.950 4.064 4.631
1.823 -4.357 1.001
2.086 1.244 1.626
Mo Ir Zr
1 2 1
direct
0.000 0.500 0.500
0.500 0.000 0.500
0.000 0.000 0.000
0.500 0.500 0.000
```

Values from the calculation:
ΔE_f ... -0.426 eV/atom
Total magnetization ... 0.000 μB/cell


(16)
ZrMoIr2 after structural relaxation. Source: the Alexandria database, functional GGA-PBE.

Structure (POSCAR):
```
ZrMoIr2
1.0
-1.069 2.252 -4.304
-2.616 -0.181 -4.227
-3.938 2.549 1.404
Ir Mo Zr
2 1 1
direct
0.011 0.011 0.017
0.745 0.745 0.715
0.484 0.484 0.549
0.260 0.260 0.219
```

Values from the calculation:
ΔE_f ... -0.345 eV/atom
Total magnetization ... 0.000 μB/cell


(17)
ZrMoIr2 after structural relaxation. Source: the Alexandria database, functional GGA-PBE.

Structure (POSCAR):
```
ZrMoIr2
1.0
-3.102 -3.113 -2.087
-2.049 -2.591 3.572
0.464 4.814 -0.531
Ir Mo Zr
2 1 1
direct
0.500 0.500 0.000
0.000 0.000 0.000
0.750 0.250 0.500
0.250 0.750 0.500
```

Values from the calculation:
ΔE_f ... -0.407 eV/atom
Total magnetization ... 0.000 μB/cell


(18)
ZrMoIr2 after structural relaxation. Source: the Alexandria database, functional GGA-PBE.

Structure (POSCAR):
```
ZrMoIr2
1.0
-1.624 1.617 4.391
-3.921 1.284 2.740
-0.923 -4.325 2.156
Mo Ir Zr
1 2 1
direct
0.750 0.750 0.750
0.496 0.496 0.518
0.004 0.004 0.982
0.250 0.250 0.250
```

Values from the calculation:
ΔE_f ... -0.187 eV/atom
Total magnetization ... 0.000 μB/cell


(19)
Zr2MoIr after structural relaxation. Source: the Alexandria database, functional GGA-PBE.

Structure (POSCAR):
```
Zr2MoIr
1.0
-5.028 1.823 -0.102
0.403 -4.722 2.479
-0.431 0.757 2.826
Mo Zr Ir
1 2 1
direct
0.000 0.500 0.500
0.500 0.500 0.000
0.000 0.000 0.000
0.500 0.000 0.500
```

Values from the calculation:
ΔE_f ... -0.218 eV/atom
Total magnetization ... 0.000 μB/cell


(20)
Zr2MoIr after structural relaxation. Source: the Alexandria database, functional GGA-PBE.

Structure (POSCAR):
```
Zr2MoIr
1.0
4.436 0.000 0.000
0.000 2.961 0.003
0.000 0.819 5.534
Ir Zr Mo
1 2 1
direct
0.500 0.250 0.250
0.000 0.519 0.500
0.000 0.981 0.000
0.500 0.750 0.750
```

Values from the calculation:
ΔE_f ... -0.213 eV/atom
Total magnetization ... 0.000 μB/cell


(21)
ZrMoIr after structural relaxation. Source: the Alexandria database, functional GGA-PBE.

Structure (POSCAR):
```
ZrMoIr
1.0
-5.604 -2.199 -2.577
-5.320 -3.814 -0.192
-1.995 1.618 1.333
Zr Mo Ir
1 1 1
direct
0.340 0.340 0.660
0.651 0.651 0.349
0.010 0.010 0.990
```

Values from the calculation:
ΔE_f ... -0.238 eV/atom
Total magnetization ... 0.001 μB/cell
E above lowest polymorph ... 0.095 eV per atom


(22)
ZrMoIr2 after structural relaxation. Source: the Alexandria database, functional GGA-PBE.

Structure (POSCAR):
```
ZrMoIr2
1.0
-2.672 4.105 -1.115
-2.299 -0.399 -4.449
0.241 -2.971 4.042
Zr Ir Mo
1 2 1
direct
0.250 0.750 0.500
0.750 0.250 0.500
0.000 0.000 0.000
0.500 0.500 0.000
```

Values from the calculation:
ΔE_f ... -0.337 eV/atom
Total magnetization ... 0.000 μB/cell


(23)
ZrMoIr2 after structural relaxation. Source: the Alexandria database, functional GGA-PBE.

Structure (POSCAR):
```
ZrMoIr2
1.0
-2.085 3.359 2.283
0.166 4.280 -1.581
-3.754 1.944 -1.724
Ir Zr Mo
2 1 1
direct
0.750 0.750 0.750
0.250 0.250 0.250
0.000 0.000 0.000
0.500 0.500 0.500
```

Values from the calculation:
ΔE_f ... -0.129 eV/atom
Total magnetization ... 0.000 μB/cell


(24)
Zr2MoIr after structural relaxation. Source: the Alexandria database, functional GGA-PBE.

Structure (POSCAR):
```
Zr2MoIr
1.0
-9.091 0.038 3.949
-9.327 -2.431 2.309
-8.144 -2.564 5.034
Zr Ir Mo
2 1 1
direct
0.244 0.244 0.244
0.004 0.004 0.004
0.495 0.495 0.495
0.757 0.757 0.757
```

Values from the calculation:
ΔE_f ... 0.102 eV/atom
Total magnetization ... 0.000 μB/cell


(25)
ZrMoIr after structural relaxation. Source: the Alexandria database, functional GGA-PBE.

Structure (POSCAR):
```
ZrMoIr
1.0
3.831 0.000 0.000
0.000 3.831 0.000
-1.916 -1.916 7.432
Mo Ir Zr
2 2 2
direct
0.500 0.000 0.000
0.000 0.500 0.000
0.867 0.867 0.733
0.133 0.133 0.267
0.319 0.319 0.639
0.681 0.681 0.361
```

Values from the calculation:
ΔE_f ... -0.333 eV/atom
Total magnetization ... 0.000 μB/cell
E above lowest polymorph ... 0.000 eV per atom


(26)
Zr2MoIr after structural relaxation. Source: the Alexandria database, functional GGA-PBE.

Structure (POSCAR):
```
Zr2MoIr
1.0
3.278 0.000 0.000
0.000 3.387 0.000
0.000 0.000 6.622
Ir Zr Mo
1 2 1
direct
0.500 0.500 0.250
0.000 0.000 0.000
0.000 0.000 0.500
0.500 0.500 0.750
```

Values from the calculation:
ΔE_f ... -0.460 eV/atom
Total magnetization ... 0.000 μB/cell


(27)
ZrMoIr after structural relaxation. Source: the Alexandria database, functional GGA-PBE.

Structure (POSCAR):
```
ZrMoIr
1.0
-3.408 -0.912 -2.900
3.533 -2.872 0.346
-1.361 -1.427 2.048
Zr Mo Ir
1 1 1
direct
0.667 0.333 0.654
0.333 0.667 0.312
0.000 0.000 0.035
```

Values from the calculation:
ΔE_f ... -0.085 eV/atom
Total magnetization ... 0.000 μB/cell
E above lowest polymorph ... 0.248 eV per atom


(28)
Zr2MoIr after structural relaxation. Source: the Alexandria database, functional GGA-PBE.

Structure (POSCAR):
```
Zr2MoIr
1.0
4.678 0.000 0.000
0.000 2.978 0.000
0.000 1.105 5.241
Zr Ir Mo
2 1 1
direct
0.000 0.980 0.985
0.500 0.259 0.263
0.000 0.516 0.493
0.500 0.745 0.759
```

Values from the calculation:
ΔE_f ... -0.226 eV/atom
Total magnetization ... 0.000 μB/cell


(29)
IrN after structural relaxation. Source: the Alexandria database, functional GGA-PBE.

Structure (POSCAR):
```
IrN
1.0
-0.991 -2.187 -1.453
1.952 -0.397 1.977
-2.284 -0.409 2.174
N Ir
1 1
direct
0.333 0.667 0.500
0.667 0.333 0.000
```

Values from the calculation:
Energy relative to the elements, uncorrected ... 1.522 eV/atom
Total magnetization ... 0.000 μB/cell
E above lowest polymorph ... 0.948 eV per atom